This record from Alexandria via LeMat-Bulk describes crystalline Li3Mg2Pb4 at its relaxed geometry. The functional is PBE.

Its crystal system is monoclinic. The value obtained for the calculated volume is 217.4 Å³ per cell. The formation energy comes out at -0.19 eV per atom. As for the symmetry: No. 12.

abc: 4.9882 4.9936 10.0742
angles: 89.89 90.01 60.02
Atoms (fractional coordinates):
Li 0.3340 0.3319 0.4425
Li 0.0000 0.0000 0.0000
Li 0.6660 0.6681 0.5575
Mg 0.3326 0.3347 0.7685
Mg 0.6674 0.6653 0.2315
Pb 0.6662 0.6676 0.8988
Pb 0.0009 0.9983 0.3438
Pb 0.9991 0.0017 0.6562
Pb 0.3338 0.3324 0.1012


This record from Alexandria via LeMat-Bulk describes crystalline LiMg4Pb at its relaxed geometry. The functional is PBE.

Its crystal system is orthorhombic. The value obtained for the calculated volume is 287.2 Å³ per cell. The formation energy comes out at 0.00 eV per atom. As for the symmetry: No. 70.

abc: 6.1379 6.3461 9.1806
angles: 69.78 79.70 58.85
Atoms (fractional coordinates):
Li 0.2500 0.1250 0.7500
Li 0.7500 0.8750 0.2500
Mg 0.7582 0.2721 0.9371
Mg 0.7418 0.7909 0.9371
Mg 0.7418 0.9673 0.5630
Mg 0.2582 0.0327 0.4370
Mg 0.2418 0.5303 0.4370
Mg 0.2582 0.2091 0.0629
Mg 0.7582 0.4697 0.5630
Mg 0.2418 0.7279 0.0629
Pb 0.7500 0.3750 0.2500
Pb 0.2500 0.6250 0.7500


This record from Alexandria via LeMat-Bulk describes crystalline LiMg5Pb at its relaxed geometry. The functional is PBE.

Its crystal system is orthorhombic. The value obtained for the calculated volume is 336.2 Å³ per cell. The formation energy comes out at 0.01 eV per atom. As for the symmetry: No. 74.

abc: 6.6676 7.8450 7.8450
angles: 80.46 64.85 64.85
Atoms (fractional coordinates):
Li 0.7500 0.2523 0.7477
Li 0.2500 0.7477 0.2523
Mg 0.4351 0.3167 0.3132
Mg 0.7443 0.5000 0.0000
Mg 0.9351 0.3132 0.3167
Mg 0.7500 0.7372 0.2628
Mg 0.7557 0.0000 0.5000
Mg 0.2443 0.0000 0.5000
Mg 0.2500 0.2628 0.7372
Mg 0.0649 0.6868 0.6833
Mg 0.2557 0.5000 0.0000
Mg 0.5649 0.6833 0.6868
Pb 0.0000 0.0000 0.0000
Pb 0.5000 0.0000 0.0000


This record from Alexandria via LeMat-Bulk describes crystalline Li14MgPb at its relaxed geometry. The functional is PBE.

Its crystal system is tetragonal. The value obtained for the calculated volume is 316.6 Å³ per cell. The formation energy comes out at -0.07 eV per atom. As for the symmetry: No. 123.

abc: 7.0536 7.0536 6.3627
angles: 90.00 90.00 89.99
Atoms (fractional coordinates):
Li 0.8750 0.8750 0.0000
Li 0.3750 0.3750 0.0000
Li 0.8750 0.3750 0.5000
Li 0.8750 0.3750 0.0000
Li 0.3750 0.8750 0.5000
Li 0.3750 0.8750 0.0000
Li 0.6217 0.1283 0.2562
Li 0.6217 0.1283 0.7438
Li 0.1283 0.6217 0.2562
Li 0.1283 0.6217 0.7438
Li 0.6217 0.6217 0.2562
Li 0.6217 0.6217 0.7438
Li 0.1283 0.1283 0.2562
Li 0.1283 0.1283 0.7438
Mg 0.8750 0.8750 0.5000
Pb 0.3750 0.3750 0.5000


This record from Alexandria via LeMat-Bulk describes crystalline Li5Mg2Pb5 at its relaxed geometry. The functional is PBE.

Its crystal system is monoclinic. The value obtained for the calculated volume is 291.7 Å³ per cell. The formation energy comes out at -0.17 eV per atom. As for the symmetry: No. 12.

abc: 5.0209 5.2764 12.9436
angles: 102.92 90.00 118.41
Atoms (fractional coordinates):
Li 0.5000 0.0000 0.5000
Li 0.6803 0.3606 0.0428
Li 0.6752 0.3504 0.3063
Li 0.3248 0.6496 0.6937
Li 0.3197 0.6394 0.9572
Mg 0.0338 0.0677 0.7815
Mg 0.9662 0.9323 0.2185
Pb 0.1489 0.2978 0.4454
Pb 0.7004 0.4007 0.7808
Pb 0.2996 0.5993 0.2192
Pb 0.8511 0.7022 0.5546
Pb 0.0000 0.0000 0.0000


This record from Alexandria via LeMat-Bulk describes crystalline LiMg3Pb3 at its relaxed geometry. The functional is PBE.

Its crystal system is orthorhombic. The value obtained for the calculated volume is 361.4 Å³ per cell. The formation energy comes out at -0.06 eV per atom. As for the symmetry: No. 65.

abc: 7.1207 7.1207 7.1311
angles: 90.00 90.00 88.00
Atoms (fractional coordinates):
Li 0.2461 0.2461 0.0001
Li 0.7539 0.7539 0.9999
Mg 0.2648 0.2648 0.5000
Mg 0.2979 0.7021 0.5000
Mg 0.7021 0.2979 0.5000
Mg 0.3374 0.6626 0.0000
Mg 0.6626 0.3374 0.0000
Mg 0.7352 0.7352 0.5000
Pb 0.0000 0.0000 0.7479
Pb 0.5000 0.0000 0.2411
Pb 0.0000 0.5000 0.2411
Pb 0.5000 0.0000 0.7589
Pb 0.0000 0.5000 0.7589
Pb 0.0000 0.0000 0.2521


This record from Alexandria via LeMat-Bulk describes crystalline Li2MgPb at its relaxed geometry. The functional is PBE.

Its crystal system is trigonal. The value obtained for the calculated volume is 94.3 Å³ per cell. The formation energy comes out at -0.06 eV per atom. As for the symmetry: No. 160.

abc: 10.1564 10.1564 10.1564
angles: 18.72 18.72 18.72
Atoms (fractional coordinates):
Li 0.9982 0.9982 0.9982
Li 0.2512 0.2512 0.2512
Mg 0.5043 0.5043 0.5043
Pb 0.7463 0.7463 0.7463


This record from Alexandria via LeMat-Bulk describes crystalline Li6MgPb2 at its relaxed geometry. The functional is PBE.

Its crystal system is trigonal. The value obtained for the calculated volume is 171.4 Å³ per cell. The formation energy comes out at -0.27 eV per atom. As for the symmetry: No. 164.

abc: 4.7793 4.7792 8.6625
angles: 90.00 90.00 120.00
Atoms (fractional coordinates):
Li 0.6667 0.3333 0.9307
Li 0.3333 0.6667 0.0693
Li 0.0000 0.9999 0.1719
Li 0.3333 0.6666 0.3906
Li 0.0000 0.0001 0.8281
Li 0.6667 0.3334 0.6094
Mg 0.0000 0.0000 0.5000
Pb 0.3333 0.6667 0.7342
Pb 0.6667 0.3333 0.2658


This record from Alexandria via LeMat-Bulk describes crystalline Li2Mg4Pb3 at its relaxed geometry. The functional is PBE.

Its crystal system is monoclinic. The value obtained for the calculated volume is 214.7 Å³ per cell. The formation energy comes out at -0.12 eV per atom. As for the symmetry: No. 12.

abc: 5.8033 5.8038 9.6081
angles: 109.55 70.46 134.62
Atoms (fractional coordinates):
Li 0.3335 0.6664 0.2225
Li 0.6665 0.3336 0.7775
Mg 0.6677 0.3323 0.1060
Mg 0.0008 0.9991 0.6686
Mg 0.9992 0.0009 0.3314
Mg 0.3323 0.6677 0.8940
Pb 0.3320 0.6680 0.5682
Pb 0.0000 0.0000 0.0000
Pb 0.6680 0.3320 0.4318


This record from Alexandria via LeMat-Bulk describes crystalline Li2MgPb5 at its relaxed geometry. The functional is PBE.

Its crystal system is monoclinic. The value obtained for the calculated volume is 213.8 Å³ per cell. The formation energy comes out at -0.12 eV per atom. As for the symmetry: No. 8.

abc: 6.8961 6.8933 6.7208
angles: 122.01 122.03 88.95
Atoms (fractional coordinates):
Li 0.2219 0.7219 0.4439
Li 0.7218 0.2219 0.4436
Mg 0.2228 0.2228 0.4459
Pb 0.7222 0.2220 0.9442
Pb 0.2220 0.2221 0.9443
Pb 0.7221 0.7221 0.9440
Pb 0.2220 0.7223 0.9443
Pb 0.7221 0.7220 0.4439


This record from Alexandria via LeMat-Bulk describes crystalline Li8MgPb2 at its relaxed geometry. The functional is PBE.

Its crystal system is monoclinic. The value obtained for the calculated volume is 216.8 Å³ per cell. The formation energy comes out at -0.19 eV per atom. As for the symmetry: No. 12.

abc: 4.7420 7.3123 7.4805
angles: 116.62 108.48 90.00
Atoms (fractional coordinates):
Li 0.3978 0.5428 0.7957
Li 0.6778 0.8951 0.3555
Li 0.8534 0.7964 0.7069
Li 0.9688 0.2797 0.9375
Li 0.1466 0.2036 0.2931
Li 0.3222 0.1049 0.6445
Li 0.6022 0.4572 0.2043
Li 0.0312 0.7203 0.0625
Mg 0.5000 0.0000 0.0000
Pb 0.7832 0.3390 0.5665
Pb 0.2168 0.6610 0.4335


This record from Alexandria via LeMat-Bulk describes crystalline LiPmMgPb at its relaxed geometry. The functional is PBE.

Its crystal system is cubic. The value obtained for the calculated volume is 102.9 Å³ per cell. The formation energy comes out at -0.27 eV per atom. As for the symmetry: No. 216.

abc: 5.2605 5.2605 5.2605
angles: 60.00 60.00 60.00
Atoms (fractional coordinates):
Pb 0.0000 0.0000 0.0000
Mg 0.5000 0.5000 0.5000
Li 0.2500 0.2500 0.2500
Pm 0.7500 0.7500 0.7500


This record from Alexandria via LeMat-Bulk describes crystalline Li2PmMgPb2 at its relaxed geometry. The functional is PBE.

Its crystal system is trigonal. The value obtained for the calculated volume is 141.1 Å³ per cell. The formation energy comes out at -0.40 eV per atom. As for the symmetry: No. 164.

abc: 4.7682 4.7682 7.1682
angles: 90.00 90.00 120.00
Atoms (fractional coordinates):
Li 0.3333 0.6667 0.6757
Li 0.6667 0.3333 0.3243
Pm 0.0000 0.0000 0.0000
Mg 0.0000 0.0000 0.5000
Pb 0.3333 0.6667 0.2470
Pb 0.6667 0.3333 0.7530


This record from Alexandria via LeMat-Bulk describes crystalline Li2PmMg2Pb2 at its relaxed geometry. The functional is PBE.

Its crystal system is trigonal. The value obtained for the calculated volume is 165.5 Å³ per cell. The formation energy comes out at -0.34 eV per atom. As for the symmetry: No. 166.

abc: 4.7682 4.7682 8.8431
angles: 74.36 74.36 60.00
Atoms (fractional coordinates):
Li 0.5713 0.5713 0.2860
Li 0.4287 0.4287 0.7140
Pm 0.0000 0.0000 0.0000
Mg 0.1369 0.1369 0.5893
Mg 0.8631 0.8631 0.4107
Pb 0.7400 0.7400 0.7800
Pb 0.2600 0.2600 0.2200


This record from Alexandria via LeMat-Bulk describes crystalline LiPrMgPb2 at its relaxed geometry. The functional is PBE.

Its crystal system is tetragonal. The value obtained for the calculated volume is 134.2 Å³ per cell. The formation energy comes out at -0.32 eV per atom. As for the symmetry: No. 119.

abc: 4.5349 4.5349 7.2697
angles: 108.17 108.17 90.00
Atoms (fractional coordinates):
Li 0.7500 0.2500 0.5000
Pr 0.0000 0.0000 0.0000
Mg 0.2500 0.7500 0.5000
Pb 0.6145 0.6145 0.2291
Pb 0.3855 0.3855 0.7709


This record from Alexandria via LeMat-Bulk describes crystalline LiPuMgPb at its relaxed geometry. The functional is PBE.

Its crystal system is cubic. The value obtained for the calculated volume is 99.8 Å³ per cell. The formation energy comes out at -0.01 eV per atom. As for the symmetry: No. 216.

abc: 5.2073 5.2073 5.2073
angles: 60.00 60.00 60.00
Site moments in Bohr magnetons follow the coordinates.
Atoms (fractional coordinates):
Pb 0.5000 0.5000 0.5000  -0.01
Mg 0.7500 0.7500 0.7500  0.00
Li 0.0000 0.0000 0.0000  0.07
Pu 0.2500 0.2500 0.2500  5.63


This record from Alexandria via LeMat-Bulk describes crystalline Li2PuMg2Pb2 at its relaxed geometry. The functional is PBE.

Its crystal system is trigonal. The value obtained for the calculated volume is 167.1 Å³ per cell. The formation energy comes out at -0.18 eV per atom. As for the symmetry: No. 166.

abc: 4.8130 4.8130 8.7809
angles: 74.09 74.09 60.00
Site moments in Bohr magnetons follow the coordinates.
Atoms (fractional coordinates):
Li 0.5746 0.5746 0.2761  0.00
Li 0.4254 0.4254 0.7239  0.00
Pu 0.0000 0.0000 0.0000  5.52
Mg 0.1357 0.1357 0.5929  0.01
Mg 0.8643 0.8643 0.4071  0.01
Pb 0.7398 0.7398 0.7806  -0.04
Pb 0.2602 0.2602 0.2194  -0.04


This record from Alexandria via LeMat-Bulk describes crystalline RbLiMgPb at its relaxed geometry. The functional is PBE.

Its crystal system is cubic. The value obtained for the calculated volume is 114.4 Å³ per cell. The formation energy comes out at -0.01 eV per atom. As for the symmetry: No. 216.

abc: 5.4483 5.4483 5.4483
angles: 60.00 60.00 60.00
Atoms (fractional coordinates):
Pb 0.5000 0.5000 0.5000
Mg 0.7500 0.7500 0.7500
Rb 0.0000 0.0000 0.0000
Li 0.2500 0.2500 0.2500


This record from Alexandria via LeMat-Bulk describes crystalline LiMgRe2Pb at its relaxed geometry. The functional is PBE.

Its crystal system is tetragonal. The value obtained for the calculated volume is 84.5 Å³ per cell. The formation energy comes out at 1.33 eV per atom. As for the symmetry: No. 123.

abc: 4.3836 4.3955 4.3836
angles: 90.00 90.00 90.00
Atoms (fractional coordinates):
Pb 0.5000 0.5000 0.5000
Re 0.0000 0.0000 0.5000
Re 0.5000 0.0000 0.0000
Mg 0.0000 0.5000 0.0000
Li 0.0000 0.0000 0.0000


This record from Alexandria via LeMat-Bulk describes crystalline LiMgRhPb2 at its relaxed geometry. The functional is PBE.

Its crystal system is tetragonal. The value obtained for the calculated volume is 109.9 Å³ per cell. The formation energy comes out at 0.27 eV per atom. As for the symmetry: No. 123.

abc: 5.0064 4.3855 5.0064
angles: 90.00 90.00 90.00
Atoms (fractional coordinates):
Pb 0.0000 0.0000 0.5000
Pb 0.5000 0.0000 0.0000
Mg 0.5000 0.5000 0.5000
Rh 0.0000 0.5000 0.0000
Li 0.0000 0.0000 0.0000